1.
Here is a relaxed ZrBPt crystal from the Open Quantum Materials Database. Energies are from PBE.

Calculated values
VASP energy: -0.261 Ha/atom

Cell lengths 4.1951, 4.1951, 4.1951 Å; angles 60.00, 60.00, 60.00 degrees
Element x y z (fractional)
Zr  0.0000  0.0000  0.0000
B  0.5000  0.5000  0.5000
Pt  0.7500  0.7500  0.7500

***

2.
Here is a relaxed NaLuAsIr crystal from the Open Quantum Materials Database. Energies are from PBE.

Calculated values
ΔE to the lowest computed polymorph: 0 meV per atom

Cell lengths 4.6436, 4.6436, 4.6436 Å; angles 60.00, 60.00, 60.00 degrees
Element x y z (fractional)
Na  0.0000  0.0000  0.0000
Lu  0.2500  0.2500  0.2500
As  0.7500  0.7500  0.7500
Ir  0.5000  0.5000  0.5000

***

3.
Here is a relaxed Rb2Os crystal from the Open Quantum Materials Database. Energies are from PBE.

Calculated values
ΔE to the lowest computed polymorph: 0 meV per atom

Cell lengths 10.1138, 10.1138, 10.1138 Å; angles 60.00, 60.00, 60.00 degrees
Element x y z (fractional)
Rb  0.0000  0.0000  0.0000
Rb  0.0000  0.0000  0.5000
Rb  0.0000  0.5000  0.0000
Rb  0.5000  0.0000  0.0000
Os  0.1250  0.1250  0.1250
Os  0.8750  0.8750  0.8750

***

4.
Here is a relaxed LaAl2AgPd crystal from the Open Quantum Materials Database. Energies are from PBE.

Calculated values
VASP energy: -0.172 Ha/atom

Cell lengths 4.4523, 4.4523, 10.4123 Å; angles 90.00, 90.00, 90.00 degrees
Element x y z (fractional)
La  0.2500  0.2500  0.2433
La  0.7500  0.7500  0.7567
Al  0.2500  0.2500  0.8860
Al  0.2500  0.7500  0.5000
Al  0.7500  0.2500  0.5000
Al  0.7500  0.7500  0.1140
Ag  0.2500  0.2500  0.6371
Ag  0.7500  0.7500  0.3629
Pd  0.2500  0.7500  0.0000
Pd  0.7500  0.2500  0.0000

***

5.
Here is a relaxed Ho3Cd3InGa2 crystal from the Open Quantum Materials Database. Energies are from PBE.

Calculated values
VASP energy: -0.121 Ha/atom

Cell lengths 7.2908, 7.2908, 4.4988 Å; angles 90.00, 90.00, 120.00 degrees
Element x y z (fractional)
Ho  0.0000  0.4374  0.0000
Ho  0.4374  0.0000  0.0000
Ho  0.5626  0.5626  0.0000
Cd  0.0000  0.7446  0.5000
Cd  0.2554  0.2554  0.5000
Cd  0.7446  0.0000  0.5000
In  0.0000  0.0000  0.0000
Ga  0.3333  0.6667  0.5000
Ga  0.6667  0.3333  0.5000

***

6.
Here is a relaxed TbPuHg crystal from the Open Quantum Materials Database. Energies are from PBE.

Calculated values
ΔE to the lowest computed polymorph: 0 meV per atom
Energy of formation from the pure elements: 352 meV/atom

Cell lengths 4.9989, 4.9989, 4.9989 Å; angles 60.00, 60.00, 60.00 degrees
Element x y z (fractional)
Tb  0.0000  0.0000  0.0000
Pu  0.7500  0.7500  0.7500
Hg  0.2500  0.2500  0.2500

***

7.
Here is a relaxed RbReHg crystal from the Open Quantum Materials Database. Energies are from PBE.

Calculated values
ΔE to the lowest computed polymorph: 328 meV per atom

Cell lengths 5.6216, 5.6216, 5.6216 Å; angles 60.00, 60.00, 60.00 degrees
Element x y z (fractional)
Rb  0.0000  0.0000  0.0000
Re  0.2500  0.2500  0.2500
Hg  0.7500  0.7500  0.7500

***

8.
Here is a relaxed Y2BiPt crystal from the Open Quantum Materials Database. Energies are from PBE.

Calculated values
VASP energy: -0.221 Ha/atom

Cell lengths 5.1953, 5.1953, 5.1953 Å; angles 60.00, 60.00, 60.00 degrees
Element x y z (fractional)
Y  0.0000  0.0000  0.0000
Y  0.2500  0.2500  0.2500
Bi  0.5000  0.5000  0.5000
Pt  0.7500  0.7500  0.7500

***

9.
Here is a relaxed BaScAgTe2Se crystal from the Open Quantum Materials Database. Energies are from PBE.

Calculated values
VASP energy: -0.173 Ha/atom

Cell lengths 7.7480, 7.7480, 10.7910 Å; angles 90.00, 90.00, 147.81 degrees
Element x y z (fractional)
Ba  0.2438  0.7562  0.7500
Ba  0.7562  0.2438  0.2500
Sc  0.5000  0.5000  0.0000
Sc  0.5000  0.5000  0.5000
Ag  0.0303  0.9697  0.2500
Ag  0.9697  0.0303  0.7500
Te  0.1362  0.8638  0.0416
Te  0.1362  0.8638  0.4584
Te  0.8638  0.1362  0.5416
Te  0.8638  0.1362  0.9584
Se  0.4275  0.5725  0.2500
Se  0.5725  0.4275  0.7500

***

10.
Here is a relaxed TbLu3Pt4 crystal from the Open Quantum Materials Database. Energies are from PBE.

Calculated values
Energy of formation from the pure elements: -1322 meV/atom

Cell lengths 5.5178, 4.4542, 6.8963 Å; angles 90.00, 90.50, 90.00 degrees
Element x y z (fractional)
Tb  0.0000  0.0000  0.0000
Lu  0.2181  0.0000  0.4996
Lu  0.4991  0.5000  0.1387
Lu  0.7166  0.5000  0.6359
Pt  0.0167  0.5000  0.2814
Pt  0.2041  0.5000  0.7674
Pt  0.5145  0.0000  0.8604
Pt  0.6978  0.0000  0.3667

***

11.
Here is a relaxed DyY3Sb4 crystal from the Open Quantum Materials Database. Energies are from PBE.

Calculated values
VASP energy: -0.228 Ha/atom

Cell lengths 6.2033, 6.2033, 6.2033 Å; angles 90.00, 90.00, 90.00 degrees
Element x y z (fractional)
Dy  0.0000  0.0000  0.0000
Y  0.0000  0.5000  0.5000
Y  0.5000  0.0000  0.5000
Y  0.5000  0.5000  0.0000
Sb  0.0000  0.0000  0.5000
Sb  0.0000  0.5000  0.0000
Sb  0.5000  0.0000  0.0000
Sb  0.5000  0.5000  0.5000

***

12.
Here is a relaxed PmGdPO crystal from the Open Quantum Materials Database. Energies are from PBE.

Calculated values
ΔE to the lowest computed polymorph: 14 meV per atom

Cell lengths 4.2196, 7.8099, 5.5688 Å; angles 90.00, 90.00, 90.00 degrees
Element x y z (fractional)
Pm  0.0000  0.1298  0.0000
Pm  0.0000  0.8702  0.5000
Gd  0.5000  0.2974  0.4727
Gd  0.5000  0.7026  0.9727
P  0.5000  0.3492  0.9724
P  0.5000  0.6508  0.4724
O  0.0000  0.1730  0.4429
O  0.0000  0.8270  0.9429